Entry 1:
DFT (PBE) results for a geometry-optimized Na3Ac3UO8 structure.

SG: R-3m
Energy: -7.141 eV/atom
Density of states at the Fermi level: 0.301 states/eV per atom

Lattice parameters (Å, degrees): 7.528 7.529 7.138 121.83 90.00 120.00
Each line ends with the local moment (μB).
Atoms (fractional coordinates):
Ac  0.500  0.000  0.500  0.05
Na  0.000  0.500  0.000  0.00
Na  0.000  0.000  0.000  0.00
Na  0.500  0.500  0.000  0.00
O  0.213  0.425  0.700  -0.02
O  0.259  0.517  0.276  0.00
O  0.225  0.012  0.300  -0.02
U  0.000  0.000  0.500  1.52
O  0.787  0.575  0.300  -0.02
O  0.787  0.012  0.300  -0.02
O  0.741  0.483  0.724  0.00
Ac  0.500  0.500  0.500  0.05
Ac  0.000  0.500  0.500  0.05
O  0.775  0.988  0.700  -0.02
O  0.213  0.988  0.700  -0.02

=====

Entry 2:
DFT (PBE) results for a geometry-optimized Tb3Ge2Rh7 structure.

SG: Cmmm
Energy: -6.731 eV/atom
Density of states at the Fermi level: 0.726 states/eV per atom

Lattice parameters (Å, degrees): 3.964 4.106 14.239 98.29 90.00 90.00
Atoms (fractional coordinates):
Rh  0.000  0.632  0.263
Rh  0.000  0.000  0.000
Tb  0.500  0.500  0.000
Rh  0.000  0.368  0.737
Rh  0.000  0.790  0.579
Rh  0.500  0.134  0.268
Ge  0.000  0.084  0.168
Ge  0.000  0.916  0.832
Rh  0.000  0.210  0.421
Tb  0.500  0.703  0.406
Tb  0.500  0.297  0.594
Rh  0.500  0.866  0.732

=====

Entry 3:
DFT (PBE) results for a geometry-optimized LiBe2PdO structure.

SG: P4/mmm
Energy: -4.330 eV/atom
Density of states at the Fermi level: 0.478 states/eV per atom

Lattice parameters (Å, degrees): 3.385 4.796 3.385 90.00 90.00 90.00
Atoms (fractional coordinates):
Pd  0.000  0.500  0.000
Be  0.000  0.000  0.500
Li  0.500  0.500  0.500
Be  0.500  0.000  0.000
O  0.000  0.000  0.000

=====

density of states at the Fermi level of number 2 (Tb3Ge2Rh7)? 0.726 states/eV per atom